Entry w
A relaxed structure of TbPrSmZn. Source: Alexandria, functional PBE.

Cell lengths 3.6290, 3.6290, 8.8212 Å; angles 90.00, 90.00, 90.00 degrees
Sites, in units of the cell vectors:
Tb 0.5000 0.5000 0.3693
Pr 0.0000 0.0000 0.0754
Sm 0.5000 0.5000 0.7750
Zn 0.0000 0.0000 0.5650

Results
- total magnetization (Bohr magnetons per cell) = 0.000



Entry x
A relaxed structure of TbPrSmZn. Source: Alexandria, functional PBE.

Cell lengths 5.4506, 5.4506, 5.4506 Å; angles 60.00, 60.00, 60.00 degrees
Sites, in units of the cell vectors:
Pr 0.7500 0.7500 0.7500
Zn 0.0000 0.0000 0.0000
Tb 0.5000 0.5000 0.5000
Sm 0.2500 0.2500 0.2500

Results
- total magnetization (Bohr magnetons per cell) = 0.000



In eV/atom, relative to the most stable structure: entry w 0.000; entry x 0.199.



Entry w
A relaxed structure of PrSm2Tc. Source: Alexandria, functional PBE.

Cell lengths 3.5009, 3.5009, 11.3347 Å; angles 81.12, 81.12, 60.00 degrees
Sites, in units of the cell vectors:
Pr 0.0000 0.0000 0.0000
Tc 0.5000 0.5000 0.5000
Sm 0.1057 0.1057 0.6829
Sm 0.8943 0.8943 0.3171

Results
- total magnetization (Bohr magnetons per cell) = 0.000



Entry x
A relaxed structure of PrSm2Tc. Source: Alexandria, functional PBE.

Cell lengths 6.5051, 7.5204, 9.5062 Å; angles 90.00, 90.00, 90.00 degrees
Sites, in units of the cell vectors:
Pr 0.6310 0.5461 0.2500
Pr 0.8690 0.0461 0.2500
Pr 0.3690 0.4539 0.7500
Pr 0.1310 0.9539 0.7500
Sm 0.1640 0.6758 0.0657
Sm 0.3360 0.1758 0.4343
Sm 0.8360 0.3242 0.5657
Sm 0.6640 0.8242 0.9343
Sm 0.8360 0.3242 0.9343
Sm 0.6640 0.8242 0.5657
Sm 0.1640 0.6758 0.4343
Sm 0.3360 0.1758 0.0657
Tc 0.0430 0.3893 0.2500
Tc 0.4570 0.8893 0.2500
Tc 0.9570 0.6107 0.7500
Tc 0.5430 0.1107 0.7500

Results
- total magnetization (Bohr magnetons per cell) = 0.000



In eV/atom, relative to the most stable structure: entry w 0.311; entry x 0.000.



Entry w
A relaxed structure of Pr2SmTe. Source: Alexandria, functional PBE.

Cell lengths 4.8725, 4.9635, 4.9635 Å; angles 90.00, 90.00, 90.00 degrees
Sites, in units of the cell vectors:
Pr 0.0000 0.0000 0.5000
Pr 0.0000 0.5000 0.0000
Te 0.5000 0.5000 0.5000
Sm 0.5000 0.0000 0.0000

Results
- total magnetization (Bohr magnetons per cell) = 0.000



Entry x
A relaxed structure of Pr2SmTe. Source: Alexandria, functional PBE.

Cell lengths 3.9988, 3.9988, 10.4811 Å; angles 79.00, 79.00, 60.00 degrees
Sites, in units of the cell vectors:
Pr 0.2616 0.2616 0.2153
Pr 0.7384 0.7384 0.7847
Te 0.0000 0.0000 0.0000
Sm 0.5000 0.5000 0.5000

Results
- total magnetization (Bohr magnetons per cell) = 0.000



In eV/atom, relative to the most stable structure: entry w 0.013; entry x 0.000.



Entry w
A relaxed structure of Pr2SmTe. Source: Alexandria, functional PBE.

Cell lengths 3.9943, 3.9943, 8.1903 Å; angles 90.00, 90.00, 90.00 degrees
Sites, in units of the cell vectors:
Pr 0.0000 0.0000 0.7205
Pr 0.0000 0.0000 0.2795
Te 0.5000 0.5000 0.5000
Sm 0.5000 0.5000 0.0000

Results
- total magnetization (Bohr magnetons per cell) = 0.000



Entry x
A relaxed structure of Pr2SmTe. Source: Alexandria, functional PBE.

Cell lengths 4.0515, 4.0515, 10.2735 Å; angles 78.63, 78.63, 60.00 degrees
Each line ends with the local moment (μB).
Sites, in units of the cell vectors:
Pr 0.0718 0.0718 0.7846  0.04
Pr 0.2617 0.2617 0.2149  0.02
Sm 0.4997 0.4997 0.5010  0.08
Te 0.6668 0.6668 0.9995  0.00

Results
- total magnetization (Bohr magnetons per cell) = 0.389



In eV/atom, relative to the most stable structure: entry w 0.000; entry x 0.026.